Density functional theory data (GGA-PBE) for NbHgSbI2 after structural relaxation.

Values from the calculation:
N(E_F) = 6.566 states/eV/f.u.
ΔE_f (raw) = 1161 meV per atom
energy above the most stable polymorph in this dataset = 1014 meV/atom
calculated density = 5.929 g/cm³
VASP energy = -2.36 eV/atom

Lattice parameters (Å, degrees): 5.7944 5.7944 5.5810 90.00 90.00 90.00
Last column: nearest neighbours and their distance in Å.
Space group P4/mmm (No. 123)
One atom of each set of equivalent atoms:
Nb1 0.0000 0.0000 0.0000 [1 per cell]  8 I 4.02, 4 Sb 4.10
Hg1 0.5000 0.5000 0.5000 [1 per cell]  2 Sb 2.79, 4 I 2.90
Sb1 0.5000 0.5000 0.0000 [1 per cell]  2 Hg 2.79
I1 0.0000 0.5000 0.5000 [2 per cell]  2 Hg 2.90